No. 1
First-principles (GGA-PBE) data for a relaxed structure of CsCdAu2, as listed in Alexandria.

a = 3.7284 Å, b = 3.7284 Å, c = 8.0852 Å
α = 90.00°, β = 90.00°, γ = 90.00°
Element x y z (fractional)
1 Au 0.0000 0.0000 0.1751
2 Au 0.0000 0.0000 0.8249
3 Cs 0.5000 0.5000 0.5000
4 Cd 0.5000 0.5000 0.0000

Computed properties:
Its crystal system is tetragonal. For the magnetization, the calculation gives 0.00 μB/cell. Its symmetry is P4/mmm. For the energy of formation from the pure elements, the calculation gives -0.114 eV/atom.

No. 2
First-principles (GGA-PBE) data for a relaxed structure of HgBPb2Cl, as listed in Alexandria.

a = 5.7344 Å, b = 5.4297 Å, c = 5.7344 Å
α = 90.00°, β = 90.00°, γ = 90.00°
Element x y z (fractional)
1 Cl 0.0000 0.5000 0.0000
2 Pb 0.0000 0.0000 0.5000
3 Pb 0.5000 0.0000 0.0000
4 B 0.5000 0.5000 0.5000
5 Hg 0.0000 0.0000 0.0000

Computed properties:
Its crystal system is tetragonal. For the magnetization, the calculation gives 0.00 μB/cell. The uncorrected formation energy is 1229.2 meV/atom. Its symmetry is P4/mmm.

No. 3
First-principles (GGA-PBE) data for a relaxed structure of LaSbPd4, as listed in Alexandria.

a = 5.4842 Å, b = 5.4842 Å, c = 5.4842 Å
α = 60.00°, β = 60.00°, γ = 60.00°
Element x y z (fractional)
1 Pd 0.6249 0.6249 0.1252
2 Pd 0.1252 0.6249 0.6249
3 Pd 0.6249 0.6249 0.6249
4 Pd 0.6249 0.1252 0.6249
5 La 0.0000 0.0000 0.0000
6 Sb 0.2500 0.2500 0.2500

Computed properties:
Its crystal system is cubic. For the magnetization, the calculation gives 0.00 μB/cell. The uncorrected formation energy is -579.5 meV/atom. Its symmetry is F-43m.

No. 4
First-principles (GGA-PBE) data for a relaxed structure of K4SbS5, as listed in Alexandria.

a = 6.5522 Å, b = 7.7277 Å, c = 7.7277 Å
α = 79.65°, β = 64.92°, γ = 64.92°
Element x y z (fractional)
1 K 0.4045 0.3893 0.8063
2 K 0.2107 0.1937 0.3893
3 K 0.7938 0.8063 0.6107
4 K 0.6000 0.6107 0.1937
5 S 0.9247 0.3049 0.8360
6 S 0.4413 0.0000 0.0000
7 S 0.7607 0.1640 0.3049
8 S 0.2296 0.8360 0.6951
9 S 0.0656 0.6951 0.1640
10 Sb 0.0794 0.0000 0.0000

Computed properties:
Its crystal system is tetragonal. For the magnetization, the calculation gives 0.86 μB/cell. The uncorrected formation energy is -754.3 meV/atom. Its symmetry is I4.

No. 5
First-principles (GGA-PBE) data for a relaxed structure of Cs2K, as listed in Alexandria.

a = 9.5900 Å, b = 9.5900 Å, c = 9.5900 Å
α = 60.00°, β = 60.00°, γ = 60.00°
Element x y z (fractional)
1 K 0.0000 0.0000 0.0000
2 K 0.2500 0.2500 0.2500
3 Cs 0.6250 0.1250 0.6250
4 Cs 0.6250 0.6250 0.6250
5 Cs 0.6250 0.6250 0.1250
6 Cs 0.1250 0.6250 0.6250

Computed properties:
Its crystal system is cubic. Its energy above the most stable polymorph in this dataset is 0.21 eV/f.u. For the magnetization, the calculation gives 0.00 μB/cell. Its symmetry is Fd-3m. For the energy of formation from the pure elements, the calculation gives 0.074 eV/atom.

No. 6
First-principles (GGA-PBE) data for a relaxed structure of LiNdHo2Tl4, as listed in Alexandria.

a = 5.2627 Å, b = 5.2627 Å, c = 9.4290 Å
α = 73.80°, β = 73.80°, γ = 60.00°
Element x y z (fractional)
1 Li 0.5000 0.5000 0.5000
2 Nd 0.0000 0.0000 0.0000
3 Ho 0.7548 0.7548 0.7357
4 Ho 0.2452 0.2452 0.2643
5 Tl 0.1282 0.1282 0.6153
6 Tl 0.3791 0.3791 0.8626
7 Tl 0.6209 0.6209 0.1374
8 Tl 0.8718 0.8718 0.3847

Computed properties:
Its crystal system is trigonal. For the magnetization, the calculation gives 0.00 μB/cell. Its symmetry is R-3m. For the energy of formation from the pure elements, the calculation gives -0.324 eV/atom.